[1]
Compound: Cs2HfOF6
Source: the Alexandria database
Functional: GGA-PBE
Structure: optimized geometry

Lattice parameters (Å, degrees): 6.549 6.549 6.854 61.46 61.46 90.00
Last column: magnetic moment on the atom in μB.
Element x y z (fractional)
Cs (0.750, 0.250, 0.500)  0.00
Cs (0.250, 0.750, 0.500)  0.00
Hf (0.000, 0.000, 0.000)  0.01
O (0.500, 0.500, 0.000)  1.51
F (0.199, 0.199, 0.602)  0.00
F (0.801, 0.801, 0.398)  0.00
F (0.217, 0.217, 0.000)  0.02
F (0.783, 0.783, 0.000)  0.02
F (0.783, 0.217, 0.000)  0.02
F (0.217, 0.783, 0.000)  0.02

Results
- Uncorrected energy: -5.612 eV per atom
- DOS at the Fermi energy: 0.000 states/eV/cell

***

[2]
Compound: CsHfPbF2
Source: the Alexandria database
Functional: GGA-PBE
Structure: optimized geometry

Lattice parameters (Å, degrees): 4.822 6.768 4.822 90.00 90.00 90.00
Last column: magnetic moment on the atom in μB.
Element x y z (fractional)
Pb (0.000, 0.500, 0.000)  0.01
Cs (0.000, 0.000, 0.000)  -0.02
Hf (0.500, 0.500, 0.500)  0.51
F (0.000, 0.000, 0.500)  -0.06
F (0.500, 0.000, 0.000)  -0.02

Results
- Uncorrected energy: -3.833 eV per atom
- DOS at the Fermi energy: 7.858 states/eV/cell

***

[3]
Compound: Cs2HfPdF6
Source: the Alexandria database
Functional: GGA-PBE
Structure: optimized geometry

Lattice parameters (Å, degrees): 6.586 6.586 6.922 61.59 61.59 90.00
Element x y z (fractional)
Cs (0.750, 0.250, 0.500)
Cs (0.250, 0.750, 0.500)
Hf (0.000, 0.000, 0.000)
Pd (0.500, 0.500, 0.000)
F (0.196, 0.196, 0.607)
F (0.804, 0.804, 0.393)
F (0.216, 0.216, 0.000)
F (0.784, 0.784, 0.000)
F (0.784, 0.216, 0.000)
F (0.216, 0.784, 0.000)

Results
- Uncorrected energy: -5.595 eV per atom
- DOS at the Fermi energy: 0.000 states/eV/cell

***

[4]
Compound: Cs2RbHfF6
Source: the Alexandria database
Functional: GGA-PBE
Structure: optimized geometry

Lattice parameters (Å, degrees): 7.487 7.487 11.983 71.80 71.80 60.00
Element x y z (fractional)
Cs (0.882, 0.882, 0.355)
Cs (0.118, 0.118, 0.645)
Cs (0.749, 0.749, 0.752)
Cs (0.251, 0.251, 0.248)
Rb (0.616, 0.616, 0.152)
Rb (0.384, 0.384, 0.848)
Hf (0.000, 0.000, 0.000)
Hf (0.500, 0.500, 0.500)
F (0.788, 0.409, 0.394)
F (0.409, 0.788, 0.394)
F (0.409, 0.409, 0.394)
F (0.212, 0.591, 0.606)
F (0.591, 0.212, 0.606)
F (0.591, 0.591, 0.606)
F (0.791, 0.160, 0.888)
F (0.160, 0.791, 0.888)
F (0.160, 0.160, 0.888)
F (0.209, 0.840, 0.112)
F (0.840, 0.209, 0.112)
F (0.840, 0.840, 0.112)

Results
- Uncorrected energy: -5.441 eV per atom
- DOS at the Fermi energy: 3.966 states/eV/cell

***

[5]
Compound: CsRbHfF6
Source: the Alexandria database
Functional: GGA-PBE
Structure: optimized geometry

Lattice parameters (Å, degrees): 6.904 6.904 9.881 90.00 90.00 120.00
Element x y z (fractional)
Cs (0.000, 0.000, 0.000)
Cs (0.000, 0.000, 0.500)
Rb (0.333, 0.667, 0.250)
Rb (0.667, 0.333, 0.750)
Hf (0.667, 0.333, 0.250)
Hf (0.333, 0.667, 0.750)
F (0.664, 0.575, 0.137)
F (0.911, 0.336, 0.137)
F (0.336, 0.911, 0.637)
F (0.089, 0.664, 0.863)
F (0.425, 0.336, 0.363)
F (0.911, 0.575, 0.363)
F (0.575, 0.911, 0.863)
F (0.664, 0.089, 0.363)
F (0.089, 0.425, 0.637)
F (0.425, 0.089, 0.137)
F (0.575, 0.664, 0.637)
F (0.336, 0.425, 0.863)

Results
- Uncorrected energy: -6.029 eV per atom
- DOS at the Fermi energy: 0.000 states/eV/cell

***

[6]
Compound: Cs2HfRhF6
Source: the Alexandria database
Functional: GGA-PBE
Structure: optimized geometry

Lattice parameters (Å, degrees): 6.240 6.240 7.141 64.09 64.09 90.00
Last column: magnetic moment on the atom in μB.
Element x y z (fractional)
Cs (0.750, 0.250, 0.500)  -0.01
Cs (0.250, 0.750, 0.500)  -0.01
Rh (0.500, 0.500, 0.000)  1.06
Hf (0.000, 0.000, 0.000)  0.01
F (0.179, 0.179, 0.641)  0.00
F (0.821, 0.821, 0.359)  0.00
F (0.227, 0.227, 0.000)  0.01
F (0.773, 0.773, 0.000)  0.01
F (0.773, 0.227, 0.000)  0.01
F (0.227, 0.773, 0.000)  0.01

Results
- Uncorrected energy: -5.661 eV per atom
- DOS at the Fermi energy: 0.000 states/eV/cell

***

[7]
Compound: CsHfRu2F
Source: the Alexandria database
Functional: GGA-PBE
Structure: optimized geometry

Lattice parameters (Å, degrees): 4.818 5.422 4.818 90.00 90.00 90.00
Element x y z (fractional)
Cs (0.000, 0.000, 0.000)
Ru (0.000, 0.000, 0.500)
Ru (0.500, 0.000, 0.000)
Hf (0.000, 0.500, 0.000)
F (0.500, 0.500, 0.500)

Results
- Uncorrected energy: -3.797 eV per atom
- DOS at the Fermi energy: 8.905 states/eV/cell

***

[8]
Compound: CsHfS2F
Source: the Alexandria database
Functional: GGA-PBE
Structure: optimized geometry

Lattice parameters (Å, degrees): 5.090 5.090 4.387 90.00 90.00 90.00
Element x y z (fractional)
Cs (0.500, 0.500, 0.500)
S (0.000, 0.500, 0.000)
S (0.500, 0.000, 0.000)
Hf (0.000, 0.000, 0.000)
F (0.000, 0.000, 0.500)

Results
- Uncorrected energy: -6.140 eV per atom

***

[9]
Compound: Cs2HfSF6
Source: the Alexandria database
Functional: GGA-PBE
Structure: optimized geometry

Lattice parameters (Å, degrees): 6.761 6.761 7.139 61.74 61.74 90.00
Last column: magnetic moment on the atom in μB.
Element x y z (fractional)
Cs (0.750, 0.250, 0.500)  0.00
Cs (0.250, 0.750, 0.500)  0.00
S (0.500, 0.500, 0.000)  1.10
Hf (0.000, 0.000, 0.000)  0.02
F (0.189, 0.189, 0.621)  0.00
F (0.811, 0.811, 0.379)  0.00
F (0.210, 0.210, 0.000)  0.03
F (0.790, 0.790, 0.000)  0.03
F (0.790, 0.210, 0.000)  0.03
F (0.210, 0.790, 0.000)  0.03

Results
- Uncorrected energy: -5.509 eV per atom
- DOS at the Fermi energy: 0.000 states/eV/cell

***

[10]
Compound: Cs2HfSF
Source: the Alexandria database
Functional: GGA-PBE
Structure: optimized geometry

Lattice parameters (Å, degrees): 5.108 7.085 5.108 90.00 90.00 90.00
Last column: magnetic moment on the atom in μB.
Element x y z (fractional)
Cs (0.000, 0.000, 0.500)  0.00
Cs (0.500, 0.000, 0.000)  0.01
S (0.000, 0.500, 0.000)  -0.08
Hf (0.500, 0.500, 0.500)  0.71
F (0.000, 0.000, 0.000)  0.00

Results
- Uncorrected energy: -3.650 eV per atom
- DOS at the Fermi energy: 6.753 states/eV/cell

***

[11]
Compound: Cs2HfSbF6
Source: the Alexandria database
Functional: GGA-PBE
Structure: optimized geometry

Lattice parameters (Å, degrees): 6.641 6.641 7.503 63.73 63.73 90.00
Last column: magnetic moment on the atom in μB.
Element x y z (fractional)
Cs (0.750, 0.250, 0.500)  0.01
Cs (0.250, 0.750, 0.500)  0.01
Sb (0.500, 0.500, 0.000)  0.34
Hf (0.000, 0.000, 0.000)  0.03
F (0.171, 0.171, 0.657)  0.00
F (0.829, 0.829, 0.343)  0.00
F (0.214, 0.214, 0.000)  0.01
F (0.786, 0.786, 0.000)  0.01
F (0.786, 0.214, 0.000)  0.01
F (0.214, 0.786, 0.000)  0.01

Results
- Uncorrected energy: -5.447 eV per atom
- DOS at the Fermi energy: 6.130 states/eV/cell

***

[12]
Compound: Cs2HfScF6
Source: the Alexandria database
Functional: GGA-PBE
Structure: optimized geometry

Lattice parameters (Å, degrees): 6.319 6.319 6.316 59.98 59.98 90.00
Last column: magnetic moment on the atom in μB.
Element x y z (fractional)
Cs (0.750, 0.250, 0.500)  0.02
Cs (0.250, 0.750, 0.500)  0.02
Sc (0.500, 0.500, 0.000)  0.81
Hf (0.000, 0.000, 0.000)  1.27
F (0.248, 0.248, 0.503)  0.00
F (0.752, 0.752, 0.497)  0.00
F (0.253, 0.253, 0.000)  0.01
F (0.747, 0.747, 0.000)  0.01
F (0.747, 0.253, 0.000)  0.01
F (0.253, 0.747, 0.000)  0.01

Results
- Uncorrected energy: -5.648 eV per atom
- DOS at the Fermi energy: 4.981 states/eV/cell

***

The lowest uncorrected energy belongs to which entry? CsHfS2F

***

Repeat the third record exactly.
Compound: Cs2HfPdF6
Source: the Alexandria database
Functional: GGA-PBE
Structure: optimized geometry

Lattice parameters (Å, degrees): 6.586 6.586 6.922 61.59 61.59 90.00
Element x y z (fractional)
Cs (0.750, 0.250, 0.500)
Cs (0.250, 0.750, 0.500)
Hf (0.000, 0.000, 0.000)
Pd (0.500, 0.500, 0.000)
F (0.196, 0.196, 0.607)
F (0.804, 0.804, 0.393)
F (0.216, 0.216, 0.000)
F (0.784, 0.784, 0.000)
F (0.784, 0.216, 0.000)
F (0.216, 0.784, 0.000)

Results
- Uncorrected energy: -5.595 eV per atom
- DOS at the Fermi energy: 0.000 states/eV/cell

***

Which value of uncorrected energy does entry 9 give? -5.509 eV per atom

***

Please write out number 1 again, unchanged.
Compound: Cs2HfOF6
Source: the Alexandria database
Functional: GGA-PBE
Structure: optimized geometry

Lattice parameters (Å, degrees): 6.549 6.549 6.854 61.46 61.46 90.00
Last column: magnetic moment on the atom in μB.
Element x y z (fractional)
Cs (0.750, 0.250, 0.500)  0.00
Cs (0.250, 0.750, 0.500)  0.00
Hf (0.000, 0.000, 0.000)  0.01
O (0.500, 0.500, 0.000)  1.51
F (0.199, 0.199, 0.602)  0.00
F (0.801, 0.801, 0.398)  0.00
F (0.217, 0.217, 0.000)  0.02
F (0.783, 0.783, 0.000)  0.02
F (0.783, 0.217, 0.000)  0.02
F (0.217, 0.783, 0.000)  0.02

Results
- Uncorrected energy: -5.612 eV per atom
- DOS at the Fermi energy: 0.000 states/eV/cell